# 1
{
  "formula": "Ag3Pd2Au3",
  "functional": "GGA-PBE",
  "state": "optimized geometry",
  "lattice": [[13.007, 0.000, 0.000], [0.000, 4.797, 0.000], [-1.766, 0.000, 4.457]],
  "species": ["Ag", "Ag", "Ag", "Ag", "Ag", "Ag", "Pd", "Pd", "Pd", "Pd", "Au", "Au", "Au", "Au", "Au", "Au"],
  "frac_coords": [[0.000, 0.000, 0.000], [0.128, 0.000, 0.627], [0.372, 0.500, 0.373], [0.500, 0.500, 0.000], [0.628, 0.500, 0.627], [0.872, 0.000, 0.373], [0.249, 0.500, 0.750], [0.251, 0.000, 0.250], [0.749, 0.000, 0.750], [0.751, 0.500, 0.250], [0.000, 0.500, 0.500], [0.128, 0.500, 0.128], [0.372, 0.000, 0.872], [0.500, 0.000, 0.500], [0.628, 0.000, 0.128], [0.872, 0.500, 0.872]],
  "relative_energy_mev_per_atom": 22,
  "mass_density_g_cm3": 13.47,
  "dos_at_fermi_per_ev_atom": 0.298,
  "space_group": "No. 12",
  "delta_e_f_ev_per_atom": -0.04
}

# 2
{
  "formula": "ScTeIr4",
  "functional": "GGA-PBE",
  "state": "optimized geometry",
  "lattice": [[0.000, 3.745, 3.745], [3.745, 0.000, 3.745], [3.745, 3.745, 0.000]],
  "species": ["Sc", "Te", "Ir", "Ir", "Ir", "Ir"],
  "frac_coords": [[0.000, 0.000, 0.000], [0.750, 0.750, 0.750], [0.375, 0.375, 0.375], [0.375, 0.375, 0.876], [0.375, 0.876, 0.375], [0.876, 0.375, 0.375]],
  "raw_formation_energy_ev_per_fu": -0.380,
  "mass_density_g_cm3": 14.88,
  "dos_at_fermi_per_ev_atom": 1.175,
  "space_group": "No. 216"
}

# 3
{
  "formula": "Pr3Dy2N4",
  "functional": "GGA-PBE",
  "state": "optimized geometry",
  "lattice": [[3.101, -1.791, 0.000], [3.101, 1.791, 0.000], [-0.016, 0.000, 15.107]],
  "species": ["Pr", "Pr", "Pr", "Dy", "Dy", "N", "N", "N", "N"],
  "frac_coords": [[0.000, 0.000, 0.000], [0.334, 0.334, 0.379], [0.666, 0.666, 0.621], [0.333, 0.333, 0.811], [0.667, 0.667, 0.189], [0.001, 0.001, 0.291], [0.334, 0.334, 0.106], [0.666, 0.666, 0.894], [0.999, 0.999, 0.709]],
  "raw_formation_energy_ev_per_fu": -11.611,
  "mass_density_g_cm3": 7.96,
  "dos_at_fermi_per_ev_atom": 0.465,
  "space_group": "No. 12"
}

| no. | E (eV/atom) |
| --- | --- |
| 1 | -3.64 |
| 2 | -7.55 |
| 3 | -7.61 |